Crystalline MnRe2HW at its relaxed geometry, computed with GGA-PBE. Values from VASP.

Final energy, eV for the cell shown: -49.7
Space group: P4/mmm (123)
V, Å³/f.u.: 60
Total magnetization, μB/f.u.: 1.72

```
&SYSTEM
  ibrav = 0, nat = 5, ntyp = 4
/
ATOMIC_SPECIES
Re 186.21 Re.upf
Mn 54.94 Mn.upf
W 183.84 W.upf
H 1.01 H.upf
CELL_PARAMETERS angstrom
3.981 0.000 0.000
0.000 3.981 0.000
0.000 0.000 3.792
ATOMIC_POSITIONS angstrom
Re 0.000 1.990 0.000
Re 1.990 0.000 0.000
Mn 0.000 0.000 1.896
W 1.990 1.990 1.896
H 0.000 0.000 0.000
```